Record 1
A plane-wave DFT calculation with SCAN was carried out for a crystal of SmAsPd relaxed with PBEsol.

a b c (Å): 4.312 4.312 7.492
angles (deg): 90.00 90.00 120.00
Sites, in units of the cell vectors:
Sm1 0.000 0.000 0.499
Sm2 0.000 0.000 0.999
As1 0.333 0.667 0.730
As2 0.667 0.333 0.230
Pd1 0.333 0.667 0.272
Pd2 0.667 0.333 0.772

Values from the calculation:
Crystal system: hexagonal
Energy of formation in eV/atom: -1.3274



Record 2
A plane-wave DFT calculation with SCAN was carried out for a crystal of SnAs2Pd2 relaxed with PBEsol.

a b c (Å): 3.960 3.960 6.592
angles (deg): 107.48 107.48 90.00
Sites, in units of the cell vectors:
Pd1 0.388 0.388 0.776
Pd2 0.612 0.612 0.224
As1 0.750 0.250 0.500
As2 0.250 0.750 0.500
Sn1 0.000 0.000 0.000

Values from the calculation:
Crystal system: tetragonal
Energy of formation in eV/atom: -0.1164



Record 3
A plane-wave DFT calculation with SCAN was carried out for a crystal of ZnSnAsPd2 relaxed with PBEsol.

a b c (Å): 4.516 4.684 4.684
angles (deg): 90.00 90.00 90.00
Sites, in units of the cell vectors:
As1 0.500 0.000 0.000
Pd1 0.000 0.000 0.500
Pd2 0.000 0.500 0.000
Sn1 0.500 0.500 0.500
Zn1 0.000 0.000 0.000

Values from the calculation:
Crystal system: tetragonal
Energy of formation in eV/atom: 0.3162



Record 4
A plane-wave DFT calculation with SCAN was carried out for a crystal of SrAsPd2 relaxed with PBEsol.

a b c (Å): 4.992 4.992 8.866
angles (deg): 106.35 106.35 90.00
Sites, in units of the cell vectors:
Pd1 0.583 0.875 0.250
Pd2 0.125 0.333 0.750
Pd3 0.667 0.375 0.250
Pd4 0.625 0.417 0.750
Sr1 0.250 0.750 0.500
Sr2 0.000 0.000 0.000
As1 0.750 0.250 0.500
As2 0.500 0.500 0.000

Values from the calculation:
Crystal system: tetragonal
Energy of formation in eV/atom: -0.7130



Record 5
A plane-wave DFT calculation with SCAN was carried out for a crystal of ZrTe2AsPd relaxed with PBEsol.

a b c (Å): 4.624 5.217 5.217
angles (deg): 90.00 90.00 90.00
Last column: magnetic moment on the atom in μB.
Sites, in units of the cell vectors:
Te1 0.000 0.000 0.500  -0.06
Te2 0.000 0.500 0.000  -0.06
As1 0.500 0.000 0.000  -0.16
Pd1 0.000 0.000 0.000  -0.03
Zr1 0.500 0.500 0.500  0.84

Values from the calculation:
Crystal system: tetragonal
E_form (uncorrected) in kcal/mol of atoms: 5.345



Record 6
A plane-wave DFT calculation with SCAN was carried out for a crystal of TiAs3Pd relaxed with PBEsol.

a b c (Å): 4.741 4.741 4.741
angles (deg): 90.00 90.00 90.00
Sites, in units of the cell vectors:
Ti1 0.000 0.000 0.000
As1 0.000 0.500 0.000
As2 0.500 0.000 0.000
As3 0.000 0.000 0.500
Pd1 0.500 0.500 0.500

Values from the calculation:
Crystal system: cubic
Energy of formation in eV/atom: 0.3036



Record 7
A plane-wave DFT calculation with SCAN was carried out for a crystal of TlAsPd5 relaxed with PBEsol.

a b c (Å): 4.000 4.000 7.030
angles (deg): 90.00 90.00 90.00
Sites, in units of the cell vectors:
Pd1 0.000 0.500 0.292
Pd2 0.000 0.500 0.708
Pd3 0.500 0.000 0.708
Pd4 0.000 0.000 0.000
Pd5 0.500 0.000 0.292
As1 0.000 0.000 0.500
Tl1 0.500 0.500 0.000

Values from the calculation:
Crystal system: tetragonal
Energy of formation in eV/atom: -0.3985



Record 8
A plane-wave DFT calculation with SCAN was carried out for a crystal of TlAsPd6 relaxed with PBEsol.

a b c (Å): 4.455 4.455 7.624
angles (deg): 73.01 73.01 60.00
Sites, in units of the cell vectors:
Pd1 0.887 0.887 0.340
Pd2 0.242 0.242 0.274
Pd3 0.758 0.758 0.726
Pd4 0.367 0.367 0.899
Pd5 0.633 0.633 0.101
Pd6 0.113 0.113 0.660
Tl1 0.500 0.500 0.500
As1 0.000 0.000 0.000

Values from the calculation:
Crystal system: trigonal
Energy of formation in eV/atom: -0.2356



Record 9
A plane-wave DFT calculation with SCAN was carried out for a crystal of Tl3AsPd relaxed with PBEsol.

a b c (Å): 5.354 5.354 5.354
angles (deg): 90.00 90.00 90.00
Sites, in units of the cell vectors:
Tl1 0.500 0.000 0.000
Tl2 0.000 0.000 0.500
Tl3 0.000 0.500 0.000
As1 0.000 0.000 0.000
Pd1 0.500 0.500 0.500

Values from the calculation:
Crystal system: cubic
Energy of formation in eV/atom: 0.6652



Record 10
A plane-wave DFT calculation with SCAN was carried out for a crystal of TlAs2Pd relaxed with PBEsol.

a b c (Å): 4.753 4.753 4.753
angles (deg): 60.00 60.00 60.00
Sites, in units of the cell vectors:
As1 0.750 0.750 0.750
As2 0.250 0.250 0.250
Pd1 0.000 0.000 0.000
Tl1 0.500 0.500 0.500

Values from the calculation:
Crystal system: cubic
Energy of formation in eV/atom: 0.3286



Record 11
A plane-wave DFT calculation with SCAN was carried out for a crystal of As2PdW2 relaxed with PBEsol.

a b c (Å): 4.150 4.150 5.793
angles (deg): 110.99 110.99 90.00
Sites, in units of the cell vectors:
W1 0.750 0.250 0.500
W2 0.250 0.750 0.500
As1 0.385 0.385 0.769
As2 0.615 0.615 0.231
Pd1 0.000 0.000 0.000

Values from the calculation:
Crystal system: tetragonal
Energy of formation in eV/atom: 0.4205



Record 12
A plane-wave DFT calculation with SCAN was carried out for a crystal of ZnAsPd3 relaxed with PBEsol.

a b c (Å): 4.547 4.547 4.547
angles (deg): 90.00 90.00 90.00
Sites, in units of the cell vectors:
As1 0.000 0.000 0.000
Zn1 0.500 0.500 0.500
Pd1 0.500 0.000 0.000
Pd2 0.000 0.500 0.000
Pd3 0.000 0.000 0.500

Values from the calculation:
Crystal system: cubic
Energy of formation in eV/atom: 0.1310



no.,VASP energy (eV/f.u.),magnetic moment (μB per formula unit)
1,-101.4,0.0
2,-142.4,0.0
3,-133.6,0.0
4,-110.9,0.0
5,-157.0,0.8
6,-107.9,0.0
7,-259.2,0.0
8,-291.1,0.0
9,-266.7,0.0
10,-144.2,0.0
11,-210.4,0.0
12,-131.4,0.0